1.
Entry from the Alexandria database: a relaxed structure of K2BaAg (PBE).

a = 5.262 Å, b = 5.262 Å, c = 6.787 Å
α = 90.00°, β = 90.00°, γ = 90.01°
Sites, in units of the cell vectors:
Ag: 0.500 0.000 0.500
Ba: 0.000 0.500 0.500
K: 0.000 0.000 0.000
K: 0.500 0.500 0.000


2.
Entry from the Alexandria database: a relaxed structure of K2BaAg (PBE).

a = 8.125 Å, b = 8.125 Å, c = 5.065 Å
α = 72.52°, β = 72.52°, γ = 127.43°
Sites, in units of the cell vectors:
Ag: 0.500 0.000 0.500
Ba: 0.000 0.500 0.500
K: 0.000 0.000 0.000
K: 0.500 0.500 0.000


Tell me which of them is the most stable. Sure, it is 1.


1.
Entry from the Alexandria database: a relaxed structure of K2BaAg (PBE).

a = 8.127 Å, b = 8.127 Å, c = 8.127 Å
α = 148.33°, β = 130.87°, γ = 59.64°
Sites, in units of the cell vectors:
Ag: 0.494 0.494 0.000
Ba: 0.319 0.819 0.500
K: 0.006 0.006 0.000
K: 0.682 0.182 0.500


2.
Entry from the Alexandria database: a relaxed structure of K2BaAg (PBE).

a = 12.517 Å, b = 12.517 Å, c = 12.517 Å
α = 21.19°, β = 21.19°, γ = 21.19°
Sites, in units of the cell vectors:
Ag: 0.250 0.250 0.250
Ba: 0.750 0.750 0.750
K: 0.975 0.975 0.975
K: 0.525 0.525 0.525


Tell me which of them is the most stable. Sure, it is 1.


1.
Entry from the Alexandria database: a relaxed structure of K2BaAg (PBE).

a = 4.272 Å, b = 4.266 Å, c = 12.057 Å
α = 69.44°, β = 90.00°, γ = 90.00°
Sites, in units of the cell vectors:
Ag: 0.000 0.482 0.517
Ba: 0.500 0.828 0.672
K: 0.000 0.008 0.992
K: 0.500 0.182 0.319


2.
Entry from the Alexandria database: a relaxed structure of K2BaAg (PBE).

a = 11.109 Å, b = 11.109 Å, c = 8.605 Å
α = 49.80°, β = 49.80°, γ = 90.00°
Sites, in units of the cell vectors:
K: 0.535 0.125 0.250
K: 0.215 0.625 0.250
K: 0.375 0.465 0.750
K: 0.875 0.785 0.750
Ba: 0.000 0.000 0.000
Ba: 0.750 0.250 0.500
Ag: 0.500 0.500 0.000
Ag: 0.250 0.750 0.500


3.
Entry from the Alexandria database: a relaxed structure of K2BaAg (PBE).

a = 10.176 Å, b = 10.176 Å, c = 5.259 Å
α = 75.01°, β = 75.01°, γ = 24.28°
Sites, in units of the cell vectors:
Ag: 0.750 0.750 0.750
Ba: 0.250 0.250 0.250
K: 0.082 0.082 0.918
K: 0.418 0.418 0.582


4.
Entry from the Alexandria database: a relaxed structure of K2BaAg (PBE).

a = 4.744 Å, b = 4.744 Å, c = 11.984 Å
α = 79.80°, β = 79.80°, γ = 59.41°
Sites, in units of the cell vectors:
Ag: 0.502 0.502 0.495
Ba: 0.219 0.219 0.332
K: 0.998 0.998 0.002
K: 0.781 0.781 0.671


Tell me which of them is the most stable. Sure, it is 1.


1.
Entry from the Alexandria database: a relaxed structure of K2BaAg (PBE).

a = 6.373 Å, b = 6.373 Å, c = 6.373 Å
α = 60.00°, β = 60.00°, γ = 60.00°
Sites, in units of the cell vectors:
K: 0.250 0.250 0.250
K: 0.750 0.750 0.750
Ba: 0.500 0.500 0.500
Ag: 0.000 0.000 0.000


2.
Entry from the Alexandria database: a relaxed structure of K2BaAg (PBE).

a = 6.350 Å, b = 6.350 Å, c = 6.350 Å
α = 119.78°, β = 119.78°, γ = 90.38°
Sites, in units of the cell vectors:
Ag: 0.500 0.500 0.000
Ba: 0.750 0.250 0.500
K: 0.000 0.000 0.000
K: 0.250 0.750 0.500


Tell me which of them is the most stable. Sure, it is 2.


1.
Entry from the Alexandria database: a relaxed structure of KBaAg2 (PBE).

a = 5.595 Å, b = 5.595 Å, c = 5.595 Å
α = 60.00°, β = 60.00°, γ = 60.00°
Sites, in units of the cell vectors:
Ag: 0.000 0.000 0.000
Ag: 0.250 0.250 0.250
Ba: 0.500 0.500 0.500
K: 0.750 0.750 0.750


2.
Entry from the Alexandria database: a relaxed structure of KBaAg2 (PBE).

a = 4.125 Å, b = 5.788 Å, c = 5.788 Å
α = 90.00°, β = 90.00°, γ = 90.00°
Sites, in units of the cell vectors:
K: 0.500 0.000 0.000
Ba: 0.500 0.500 0.500
Ag: 0.000 0.000 0.500
Ag: 0.000 0.500 0.000


3.
Entry from the Alexandria database: a relaxed structure of KBaAg2 (PBE).

a = 4.870 Å, b = 4.870 Å, c = 6.890 Å
α = 90.00°, β = 90.00°, γ = 90.00°
Sites, in units of the cell vectors:
Ag: 0.000 0.000 0.874
Ag: 0.500 0.500 0.376
Ba: 0.000 0.000 0.374
K: 0.500 0.500 0.876


Tell me which of them is the most stable. Sure, it is 2.


1.
Entry from the Alexandria database: a relaxed structure of KBaAg2 (PBE).

a = 4.792 Å, b = 4.792 Å, c = 8.783 Å
α = 74.14°, β = 74.14°, γ = 59.97°
Sites, in units of the cell vectors:
Ag: 0.003 0.003 0.991
Ag: 0.497 0.497 0.509
Ba: 0.750 0.750 0.750
K: 0.250 0.250 0.250


2.
Entry from the Alexandria database: a relaxed structure of KBaAg2 (PBE).

a = 5.803 Å, b = 5.803 Å, c = 5.803 Å
α = 60.00°, β = 60.00°, γ = 60.00°
Sites, in units of the cell vectors:
K: 0.000 0.000 0.000
Ba: 0.500 0.500 0.500
Ag: 0.250 0.250 0.250
Ag: 0.750 0.750 0.750


3.
Entry from the Alexandria database: a relaxed structure of KBaAg2 (PBE).

a = 4.944 Å, b = 4.721 Å, c = 6.677 Å
α = 69.28°, β = 90.00°, γ = 90.00°
Sites, in units of the cell vectors:
K: 0.500 0.767 0.840
Ba: 0.000 0.485 0.405
Ag: 0.000 0.186 0.003
Ag: 0.500 0.062 0.253


4.
Entry from the Alexandria database: a relaxed structure of KBaAg2 (PBE).

a = 7.021 Å, b = 7.021 Å, c = 7.021 Å
α = 143.14°, β = 137.02°, γ = 57.88°
Sites, in units of the cell vectors:
Ag: 0.950 0.950 0.000
Ag: 0.800 0.300 0.500
Ba: 0.514 0.514 0.000
K: 0.236 0.736 0.500


Tell me which of them is the most stable. Sure, it is 3.


1.
Entry from the Alexandria database: a relaxed structure of KBaAg2 (PBE).

a = 4.177 Å, b = 4.178 Å, c = 8.257 Å
α = 90.00°, β = 90.00°, γ = 90.00°
Sites, in units of the cell vectors:
Ag: 0.000 0.000 0.027
Ag: 0.000 0.000 0.473
Ba: 0.500 0.500 0.250
K: 0.500 0.500 0.750


2.
Entry from the Alexandria database: a relaxed structure of KBaAg2 (PBE).

a = 8.972 Å, b = 8.972 Å, c = 7.420 Å
α = 52.80°, β = 52.80°, γ = 90.00°
Sites, in units of the cell vectors:
K: 0.500 0.500 0.000
K: 0.250 0.750 0.500
Ba: 0.000 0.000 0.000
Ba: 0.750 0.250 0.500
Ag: 0.620 0.125 0.250
Ag: 0.130 0.625 0.250
Ag: 0.375 0.380 0.750
Ag: 0.875 0.870 0.750


Tell me which of them is the most stable. Sure, it is 1.


1.
Entry from the Alexandria database: a relaxed structure of KBa2Ag2 (PBE).

a = 5.744 Å, b = 5.744 Å, c = 7.761 Å
α = 68.28°, β = 68.28°, γ = 90.00°
Sites, in units of the cell vectors:
K: 0.000 0.000 0.000
Ba: 0.750 0.250 0.500
Ba: 0.250 0.750 0.500
Ag: 0.395 0.395 0.211
Ag: 0.605 0.605 0.789


2.
Entry from the Alexandria database: a relaxed structure of KBa2Ag2 (PBE).

a = 9.231 Å, b = 9.231 Å, c = 4.706 Å
α = 90.00°, β = 90.00°, γ = 90.00°
Sites, in units of the cell vectors:
K: 0.000 0.000 0.000
K: 0.500 0.500 0.000
Ba: 0.165 0.665 0.500
Ba: 0.665 0.835 0.500
Ba: 0.835 0.335 0.500
Ba: 0.335 0.165 0.500
Ag: 0.383 0.883 0.000
Ag: 0.883 0.617 0.000
Ag: 0.617 0.117 0.000
Ag: 0.117 0.383 0.000


Tell me which of them is the most stable. Sure, it is 2.


1.
Entry from the Alexandria database: a relaxed structure of KBa2Ag2 (PBE).

a = 9.884 Å, b = 9.884 Å, c = 4.029 Å
α = 90.00°, β = 90.00°, γ = 90.00°
Sites, in units of the cell vectors:
K: 0.000 0.000 0.000
K: 0.500 0.500 0.000
Ba: 0.359 0.859 0.000
Ba: 0.859 0.641 0.000
Ba: 0.641 0.141 0.000
Ba: 0.141 0.359 0.000
Ag: 0.151 0.651 0.500
Ag: 0.651 0.849 0.500
Ag: 0.849 0.349 0.500
Ag: 0.349 0.151 0.500


2.
Entry from the Alexandria database: a relaxed structure of KBa2Ag2 (PBE).

a = 6.122 Å, b = 6.122 Å, c = 8.035 Å
α = 67.60°, β = 67.60°, γ = 90.00°
Sites, in units of the cell vectors:
K: 0.000 0.000 0.000
Ba: 0.340 0.340 0.321
Ba: 0.660 0.660 0.679
Ag: 0.750 0.250 0.500
Ag: 0.250 0.750 0.500


Tell me which of them is the most stable. Sure, it is 1.


1.
Entry from the Alexandria database: a relaxed structure of K3BaAg (PBE).

a = 8.077 Å, b = 8.077 Å, c = 8.077 Å
α = 90.00°, β = 90.00°, γ = 90.00°
Last column: magnetic moment on the atom in μB.
Sites, in units of the cell vectors:
K: 0.000 0.500 0.000  0.03
K: 0.000 0.000 0.500  0.02
K: 0.500 0.000 0.000  0.03
Ba: 0.000 0.000 0.000  0.27
Ag: 0.500 0.500 0.500  0.01


2.
Entry from the Alexandria database: a relaxed structure of K3BaAg (PBE).

a = 6.688 Å, b = 6.688 Å, c = 6.688 Å
α = 90.00°, β = 90.00°, γ = 90.00°
Sites, in units of the cell vectors:
K: 0.000 0.500 0.000
K: 0.000 0.000 0.500
K: 0.500 0.000 0.000
Ba: 0.500 0.500 0.500
Ag: 0.000 0.000 0.000


Tell me which of them is the most stable. Sure, it is 2.


1.
Entry from the Alexandria database: a relaxed structure of KBa3Ag (PBE).

a = 7.323 Å, b = 7.317 Å, c = 12.150 Å
α = 98.52°, β = 98.47°, γ = 62.42°
Sites, in units of the cell vectors:
K: 0.504 0.470 0.973
K: 0.864 0.830 0.082
Ba: 0.233 0.198 0.273
Ba: 0.136 0.102 0.782
Ba: 0.438 0.404 0.617
Ba: 0.588 0.553 0.335
Ba: 0.930 0.896 0.437
Ba: 0.780 0.747 0.720
Ag: 0.992 0.342 0.527
Ag: 0.376 0.958 0.527


2.
Entry from the Alexandria database: a relaxed structure of KBa3Ag (PBE).

a = 6.886 Å, b = 6.886 Å, c = 6.886 Å
α = 90.00°, β = 90.00°, γ = 90.00°
Last column: magnetic moment on the atom in μB.
Sites, in units of the cell vectors:
K: 0.000 0.000 0.000  0.09
Ba: 0.000 0.500 0.000  0.22
Ba: 0.000 0.000 0.500  0.25
Ba: 0.500 0.000 0.000  0.17
Ag: 0.500 0.500 0.500  0.00


Tell me which of them is the most stable. Sure, it is 1.